Entry from Alexandria via LeMat-Bulk: a geometry-optimized Hf2CoGe structure (PBE).

Cell: 3.987 3.987 5.811 Å, 69.94 69.94 60.00°
Element x y z (fractional)
Co: 0.493 0.256 0.757
Hf: 0.698 0.461 0.143
Hf: 0.897 0.660 0.546
Ge: 0.122 0.885 0.872

Energy ... -8.21 eV per atom
Total moment ... 0.000 μB per cell


Entry from Alexandria via LeMat-Bulk: a geometry-optimized CaSi2Mo structure (PBE).

Cell: 3.302 3.302 6.863 Å, 90.00 90.00 90.00°
Element x y z (fractional)
Si: 0.000 0.000 0.981
Si: 0.500 0.500 0.185
Ca: 0.000 0.000 0.499
Mo: 0.500 0.500 0.835

Total moment ... 0.000 μB per cell
Energy relative to the lowest polymorph listed for this composition ... 306 meV/atom


Entry from Alexandria via LeMat-Bulk: a geometry-optimized K2BC2O6 structure (PBE).

Cell: 4.542 6.368 6.251 Å, 117.11 90.00 110.89°
Element x y z (fractional)
C: 0.000 0.000 0.661
C: 0.000 0.000 0.339
O: 0.804 0.133 0.714
O: 0.672 0.867 0.286
O: 0.110 0.219 0.345
O: 0.328 0.133 0.714
O: 0.890 0.781 0.655
O: 0.196 0.867 0.286
K: 0.686 0.372 0.196
K: 0.314 0.628 0.804
B: 0.500 0.000 0.500

Energy ... -6.46 eV per atom
Total moment ... 0.122 μB per cell


Entry from Alexandria via LeMat-Bulk: a geometry-optimized NaNi structure (PBE).

Cell: 8.088 8.088 8.088 Å, 90.00 90.00 90.00°
Element x y z (fractional)
Na: 0.500 0.000 0.250
Na: 0.250 0.500 0.000
Na: 0.000 0.250 0.500
Na: 0.750 0.500 0.000
Na: 0.000 0.750 0.500
Na: 0.500 0.000 0.750
Ni: 0.000 0.500 0.750
Ni: 0.250 0.000 0.500
Ni: 0.500 0.750 0.000
Ni: 0.500 0.250 0.000
Ni: 0.000 0.500 0.250
Ni: 0.750 0.000 0.500

Energy ... -2.07 eV per atom
Total moment ... 6.030 μB per cell


Entry from Alexandria via LeMat-Bulk: a geometry-optimized Al2Cu2Ni3 structure (PBE).

Cell: 4.373 4.376 6.817 Å, 72.41 121.59 130.94°
Element x y z (fractional)
Cu: 0.282 0.140 0.422
Cu: 0.718 0.860 0.578
Al: 0.836 0.422 0.258
Al: 0.164 0.578 0.742
Ni: 0.000 0.000 0.000
Ni: 0.430 0.717 0.147
Ni: 0.570 0.283 0.853

Energy ... -5.05 eV per atom
Total moment ... 0.000 μB per cell


Entry from Alexandria via LeMat-Bulk: a geometry-optimized LaCu2Pb structure (PBE).

Cell: 5.029 5.029 5.029 Å, 60.00 60.00 60.00°
Element x y z (fractional)
La: 0.500 0.500 0.500
Cu: 0.250 0.250 0.250
Cu: 0.000 0.000 0.000
Pb: 0.750 0.750 0.750

Energy ... -4.20 eV per atom
Total moment ... 0.000 μB per cell


Density of states at the Fermi level in states/eV/cell, matching the order above: 4.07; 2.80; 2.59; 34.86; 4.01; 2.91